{"formula": "LiTe2Pb", "functional": "GGA-PBE", "state": "relaxed", "lattice": [[4.462, 0.000, 0.000], [-2.231, 3.864, 0.000], [0.000, 0.000, 21.427]], "species": ["Li", "Li", "Li", "Te", "Te", "Te", "Te", "Te", "Te", "Pb", "Pb", "Pb"], "frac_coords": [[0.000, 0.000, 0.000], [0.333, 0.667, 0.667], [0.667, 0.333, 0.333], [0.000, 0.000, 0.597], [0.000, 0.000, 0.745], [0.333, 0.667, 0.264], [0.333, 0.667, 0.412], [0.667, 0.333, 0.079], [0.667, 0.333, 0.930], [0.000, 0.000, 0.170], [0.333, 0.667, 0.837], [0.667, 0.333, 0.504]], "sg": "R3m (160)"}

***

{"formula": "LiTe2Pb", "functional": "GGA-PBE", "state": "relaxed", "lattice": [[4.488, 0.000, 0.000], [0.000, 4.888, 0.000], [0.000, 0.000, 10.149]], "species": ["Li", "Li", "Te", "Te", "Te", "Te", "Pb", "Pb"], "frac_coords": [[0.000, 0.000, 0.000], [0.500, 0.500, 0.000], [0.000, 0.000, 0.486], [0.000, 0.500, 0.842], [0.500, 0.000, 0.842], [0.500, 0.500, 0.486], [0.000, 0.500, 0.214], [0.500, 0.000, 0.214]], "sg": "Cmm2 (35)"}

***

{"formula": "LiTe2Pb", "functional": "GGA-PBE", "state": "relaxed", "lattice": [[4.702, 0.000, 0.000], [0.000, 5.821, 0.000], [0.000, 0.000, 8.444]], "species": ["Li", "Li", "Te", "Te", "Te", "Te", "Pb", "Pb"], "frac_coords": [[0.000, 0.000, 0.000], [0.500, 0.500, 0.500], [0.000, 0.500, 0.275], [0.000, 0.500, 0.725], [0.500, 0.000, 0.225], [0.500, 0.000, 0.775], [0.000, 0.000, 0.500], [0.500, 0.500, 0.000]], "sg": "Immm (71)"}

***

{"formula": "LiTe2Pb", "functional": "GGA-PBE", "state": "relaxed", "lattice": [[4.124, 0.000, 0.000], [0.000, 4.342, 0.000], [0.000, 0.000, 7.033]], "species": ["Li", "Te", "Te", "Pb"], "frac_coords": [[0.000, 0.000, 0.000], [0.000, 0.000, 0.589], [0.500, 0.500, 0.034], [0.500, 0.500, 0.453]], "sg": "Pmm2 (25)"}

***

{"formula": "LiTePb4", "functional": "GGA-PBE", "state": "relaxed", "lattice": [[0.000, 4.601, 4.601], [4.601, 0.000, 4.601], [4.601, 4.601, 0.000]], "species": ["Li", "Te", "Pb", "Pb", "Pb", "Pb"], "frac_coords": [[0.000, 0.000, 0.000], [0.250, 0.250, 0.250], [0.124, 0.625, 0.625], [0.625, 0.124, 0.625], [0.625, 0.625, 0.124], [0.625, 0.625, 0.625]], "sg": "F-43m (216)"}

***

{"formula": "Li2Te2Pb", "functional": "GGA-PBE", "state": "relaxed", "lattice": [[8.072, 0.000, 0.000], [0.000, 8.072, 0.000], [0.000, 0.000, 3.798]], "species": ["Li", "Li", "Li", "Li", "Te", "Te", "Te", "Te", "Pb", "Pb"], "frac_coords": [[0.122, 0.378, 0.000], [0.378, 0.878, 0.000], [0.622, 0.122, 0.000], [0.878, 0.622, 0.000], [0.182, 0.682, 0.500], [0.318, 0.182, 0.500], [0.682, 0.818, 0.500], [0.818, 0.318, 0.500], [0.000, 0.000, 0.000], [0.500, 0.500, 0.000]], "e_above_lowest_polymorph_mev_per_atom": 100.2, "sg": "P4/mbm (127)"}

***

{"formula": "LiTePb", "functional": "GGA-PBE", "state": "relaxed", "lattice": [[4.490, 0.000, 0.000], [-2.245, 3.889, 0.000], [0.000, 0.000, 4.802]], "species": ["Li", "Te", "Pb"], "frac_coords": [[0.000, 0.000, 0.000], [0.667, 0.333, 0.102], [0.333, 0.667, 0.570]], "e_above_lowest_polymorph_mev_per_atom": 42.6, "sg": "P3m1 (156)"}

***

{"formula": "LiTe2Pb", "functional": "GGA-PBE", "state": "relaxed", "lattice": [[4.029, 0.000, 0.000], [0.000, 4.282, 0.000], [0.000, 0.000, 13.758]], "species": ["Li", "Li", "Te", "Te", "Te", "Te", "Pb", "Pb"], "frac_coords": [[0.000, 0.000, 0.000], [0.500, 0.500, 0.500], [0.000, 0.000, 0.444], [0.000, 0.500, 0.157], [0.500, 0.000, 0.657], [0.500, 0.500, 0.944], [0.000, 0.500, 0.766], [0.500, 0.000, 0.266]], "sg": "Imm2 (44)"}

***

{"formula": "Li2Te2Pb", "functional": "GGA-PBE", "state": "relaxed", "lattice": [[4.246, 0.000, 0.000], [0.000, 4.246, 0.000], [0.000, 0.000, 14.641]], "species": ["Li", "Li", "Li", "Li", "Te", "Te", "Te", "Te", "Pb", "Pb"], "frac_coords": [[0.000, 0.500, 0.250], [0.000, 0.500, 0.750], [0.500, 0.000, 0.250], [0.500, 0.000, 0.750], [0.000, 0.000, 0.127], [0.000, 0.000, 0.873], [0.500, 0.500, 0.373], [0.500, 0.500, 0.627], [0.000, 0.000, 0.500], [0.500, 0.500, 0.000]], "e_above_lowest_polymorph_mev_per_atom": 0.0, "sg": "I4/mmm (139)"}

***

{"formula": "LiTe5Pb4", "functional": "GGA-PBE", "state": "relaxed", "lattice": [[-2.287, 2.287, 16.009], [2.287, -2.287, 16.009], [2.287, 2.287, -16.009]], "species": ["Li", "Te", "Te", "Te", "Te", "Te", "Pb", "Pb", "Pb", "Pb"], "frac_coords": [[0.000, 0.000, 0.000], [0.095, 0.095, 0.000], [0.299, 0.299, 0.000], [0.500, 0.500, 0.000], [0.701, 0.701, 0.000], [0.905, 0.905, 0.000], [0.196, 0.196, 0.000], [0.403, 0.403, 0.000], [0.597, 0.597, 0.000], [0.804, 0.804, 0.000]], "sg": "I4/mmm (139)"}

***

{"formula": "LiTe3Pb", "functional": "GGA-PBE", "state": "relaxed", "lattice": [[5.920, 0.000, 0.000], [0.000, 5.920, 0.000], [0.000, 0.000, 5.920]], "species": ["Li", "Te", "Te", "Te", "Pb"], "frac_coords": [[0.000, 0.000, 0.000], [0.000, 0.500, 0.500], [0.500, 0.000, 0.500], [0.500, 0.500, 0.000], [0.500, 0.500, 0.500]], "e_above_lowest_polymorph_mev_per_atom": 251.0, "sg": "Pm-3m (221)"}

***

{"formula": "LiTe2Pb", "functional": "GGA-PBE", "state": "relaxed", "lattice": [[6.732, 0.000, 0.000], [0.000, 8.242, 0.000], [0.000, 0.000, 4.162]], "species": ["Li", "Li", "Te", "Te", "Te", "Te", "Pb", "Pb"], "frac_coords": [[0.000, 0.000, 0.000], [0.500, 0.500, 0.000], [0.250, 0.250, 0.500], [0.250, 0.750, 0.500], [0.750, 0.250, 0.500], [0.750, 0.750, 0.500], [0.000, 0.500, 0.000], [0.500, 0.000, 0.000]], "sg": "Cmmm (65)"}

***

no.,magnetization (μB per formula unit),uncorrected formation energy (meV/atom)
1,0.00,-460
2,0.00,-161
3,0.00,-342
4,0.00,-423
5,0.00,100
6,0.00,-525
7,0.00,-373
8,0.00,-393
9,0.00,-625
10,0.00,-402
11,0.00,251
12,0.00,-362